Material: MoHPb2
Method: DFT, PBE
State: relaxed

Calculated values
Total energy in hartree per atom: -0.167
Excess energy over the best structure of this formula in the dataset in meV per atom: 0
Magnetic moment in μB per cell: 2.00

Cell: 5.810 5.810 5.810 Å, 109.46 109.46 109.50°
Fractional coordinates of all 8 atoms:
1 Mo 0.000 0.000 0.000
2 Mo 0.750 0.250 0.500
3 H 0.250 0.750 0.500
4 H 0.500 0.500 0.000
5 Pb 0.201 0.625 0.076
6 Pb 0.375 0.451 0.576
7 Pb 0.549 0.125 0.924
8 Pb 0.875 0.799 0.424